The following is a DFT calculation (PBE) of TaNb2Zn after structural relaxation.

Results
DFT formation energy ... 0.55 eV/atom
Calculated volume ... 148.26 Å³ per cell

```
TaNb2Zn
1.0
7.3930 0.0000 0.0000
0.0000 7.3930 0.0000
3.6965 3.6965 2.7126
Nb Ta Zn
4 2 2
Direct
0.6095 0.1250 0.2500
0.8750 0.8595 0.7500
0.3750 0.3905 0.7500
0.1405 0.6250 0.2500
0.0000 0.0000 0.0000
0.7500 0.2500 0.5000
0.2500 0.7500 0.5000
0.5000 0.5000 0.0000
```